1.
Pr2Sm2In3 | PBE-GGA | relaxed Values from VASP.

Results
Formation energy from the elements: -31.98 kJ/mol of atoms
DOS at the Fermi energy: 6.91 states/eV/f.u.

Quantum ESPRESSO input file:
```
&SYSTEM
  ibrav = 0, nat = 7, ntyp = 3
/
ATOMIC_SPECIES
Pr 140.91 Pr.upf
Sm 150.36 Sm.upf
In 114.82 In.upf
CELL_PARAMETERS angstrom
-2.683 0.450 3.779
1.061 -3.241 1.139
8.078 5.439 7.957
ATOMIC_POSITIONS crystal
Pr 0.571 0.500 0.859
Pr 0.429 0.500 0.141
Sm 0.703 0.500 0.594
Sm 0.297 0.500 0.406
In 0.854 0.000 0.292
In 0.000 0.000 0.000
In 0.146 0.000 0.708
```

2.
PrSmIn | PBE-GGA | relaxed Values from VASP.

Results
Formation energy from the elements: -32.78 kJ/mol of atoms
Energy above the most stable polymorph in this dataset: 0 meV per atom
DOS at the Fermi energy: 4.14 states/eV/f.u.

Quantum ESPRESSO input file:
```
&SYSTEM
  ibrav = 0, nat = 6, ntyp = 3
/
ATOMIC_SPECIES
Pr 140.91 Pr.upf
Sm 150.36 Sm.upf
In 114.82 In.upf
CELL_PARAMETERS angstrom
5.568 0.000 0.000
-2.783 4.823 0.000
0.000 0.000 6.886
ATOMIC_POSITIONS crystal
Pr 0.000 0.500 0.000
Pr 0.000 0.500 0.500
Sm 0.667 0.833 0.750
Sm 0.333 0.167 0.250
In 0.333 0.167 0.750
In 0.667 0.833 0.250
```

3.
PrSm5In2 | PBE-GGA | relaxed Values from VASP.

Results
Formation energy from the elements: -26.26 kJ/mol of atoms
Energy above the most stable polymorph in this dataset: 0 meV per atom
DOS at the Fermi energy: 11.97 states/eV/f.u.

Quantum ESPRESSO input file:
```
&SYSTEM
  ibrav = 0, nat = 16, ntyp = 3
/
ATOMIC_SPECIES
Pr 140.91 Pr.upf
Sm 150.36 Sm.upf
In 114.82 In.upf
CELL_PARAMETERS angstrom
4.953 0.000 0.000
0.000 6.997 0.000
0.000 0.000 13.997
ATOMIC_POSITIONS crystal
Pr 0.000 0.000 0.500
Pr 0.000 0.500 0.000
Sm 0.000 0.000 0.000
Sm 0.000 0.500 0.500
Sm 0.000 0.502 0.749
Sm 0.000 0.498 0.251
Sm 0.000 0.998 0.249
Sm 0.000 0.002 0.751
Sm 0.500 0.250 0.874
Sm 0.500 0.750 0.126
Sm 0.500 0.250 0.374
Sm 0.500 0.750 0.626
In 0.500 0.253 0.626
In 0.500 0.747 0.374
In 0.500 0.247 0.126
In 0.500 0.753 0.874
```

4.
Pr6SmIn4 | PBE-GGA | relaxed Values from VASP.

Results
Formation energy from the elements: -14.36 kJ/mol of atoms
DOS at the Fermi energy: 13.58 states/eV/f.u.

Quantum ESPRESSO input file:
```
&SYSTEM
  ibrav = 0, nat = 11, ntyp = 3
/
ATOMIC_SPECIES
Pr 140.91 Pr.upf
Sm 150.36 Sm.upf
In 114.82 In.upf
CELL_PARAMETERS angstrom
8.279 -0.334 -0.491
-4.124 7.186 0.491
-4.124 -2.186 6.864
ATOMIC_POSITIONS crystal
Pr 0.000 0.908 0.530
Pr 0.000 0.530 0.908
Pr 0.622 0.092 0.092
Pr 0.500 0.000 0.500
Pr 0.378 0.470 0.470
Pr 0.500 0.500 0.000
Sm 0.000 0.000 0.000
In 0.000 0.276 0.594
In 0.682 0.406 0.406
In 0.000 0.594 0.276
In 0.318 0.724 0.724
```

5.
Pr4SmIn5 | PBE-GGA | relaxed Values from VASP.

Results
Formation energy from the elements: -47.72 kJ/mol of atoms
DOS at the Fermi energy: 5.65 states/eV/f.u.

Quantum ESPRESSO input file:
```
&SYSTEM
  ibrav = 0, nat = 10, ntyp = 3
/
ATOMIC_SPECIES
Pr 140.91 Pr.upf
Sm 150.36 Sm.upf
In 114.82 In.upf
CELL_PARAMETERS angstrom
-0.379 -3.870 0.196
3.873 -0.384 -0.101
0.597 0.921 19.380
ATOMIC_POSITIONS crystal
Pr 0.000 0.000 0.197
Pr 0.000 0.000 0.399
Pr 0.000 0.000 0.601
Pr 0.000 0.000 0.803
Sm 0.000 0.000 0.000
In 0.500 0.500 0.095
In 0.500 0.500 0.298
In 0.500 0.500 0.500
In 0.500 0.500 0.702
In 0.500 0.500 0.905
```

6.
Pr3Sm4In4 | PBE-GGA | relaxed Values from VASP.

Results
Formation energy from the elements: -23.65 kJ/mol of atoms
DOS at the Fermi energy: 11.40 states/eV/f.u.

Quantum ESPRESSO input file:
```
&SYSTEM
  ibrav = 0, nat = 11, ntyp = 3
/
ATOMIC_SPECIES
Pr 140.91 Pr.upf
Sm 150.36 Sm.upf
In 114.82 In.upf
CELL_PARAMETERS angstrom
-3.561 -0.862 -2.824
3.950 -7.036 -2.833
-4.163 -0.888 9.308
ATOMIC_POSITIONS crystal
Pr 0.112 0.112 0.224
Pr 0.888 0.888 0.776
Pr 0.000 0.500 0.000
Sm 0.335 0.137 0.669
Sm 0.665 0.468 0.331
Sm 0.665 0.863 0.331
Sm 0.335 0.532 0.669
In 0.238 0.738 0.477
In 0.762 0.262 0.523
In 0.500 0.813 0.000
In 0.500 0.187 0.000
```

7.
PrSmIn6 | PBE-GGA | relaxed Values from VASP.

Results
Formation energy from the elements: -39.75 kJ/mol of atoms
Energy above the most stable polymorph in this dataset: 55 meV per atom
DOS at the Fermi energy: 4.42 states/eV/f.u.

Quantum ESPRESSO input file:
```
&SYSTEM
  ibrav = 0, nat = 8, ntyp = 3
/
ATOMIC_SPECIES
Pr 140.91 Pr.upf
Sm 150.36 Sm.upf
In 114.82 In.upf
CELL_PARAMETERS angstrom
5.272 0.000 0.000
0.000 6.771 -0.217
0.000 -3.193 5.976
ATOMIC_POSITIONS crystal
Pr 0.500 0.416 0.584
Sm 0.000 0.084 0.916
In 0.000 0.064 0.407
In 0.000 0.593 0.936
In 0.000 0.593 0.407
In 0.500 0.431 0.091
In 0.500 0.909 0.569
In 0.500 0.910 0.090
```

8.
PrSm8In6 | PBE-GGA | relaxed Values from VASP.

Results
Formation energy from the elements: -22.52 kJ/mol of atoms
DOS at the Fermi energy: 23.35 states/eV/f.u.

Quantum ESPRESSO input file:
```
&SYSTEM
  ibrav = 0, nat = 15, ntyp = 3
/
ATOMIC_SPECIES
Pr 140.91 Pr.upf
Sm 150.36 Sm.upf
In 114.82 In.upf
CELL_PARAMETERS angstrom
-1.110 7.171 5.691
-8.448 3.305 1.658
-3.805 -0.642 7.539
ATOMIC_POSITIONS crystal
Pr 0.000 0.000 0.000
Sm 0.553 0.218 0.344
Sm 0.782 0.115 0.656
Sm 0.115 0.447 0.656
Sm 0.667 0.667 0.998
Sm 0.333 0.333 0.002
Sm 0.885 0.553 0.344
Sm 0.218 0.885 0.344
Sm 0.447 0.782 0.656
In 0.393 0.056 0.832
In 0.944 0.281 0.168
In 0.281 0.607 0.168
In 0.719 0.393 0.832
In 0.056 0.719 0.832
In 0.607 0.944 0.168
```

| no. | calculated total energy (eV/atom) |
| --- | --- |
| 1 | -4.22 |
| 2 | -4.42 |
| 3 | -4.50 |
| 4 | -4.18 |
| 5 | -4.25 |
| 6 | -4.26 |
| 7 | -3.65 |
| 8 | -4.16 |